VASP calculation (PBE) on ScPPb2 after structural relaxation.

Output
energy of formation from the pure elements	-32	kJ/mol of formula units
ρ	8.38	g/cm³
N(E_F)	3.604	states/eV per cell

Lattice parameters (Å, degrees): 6.135 6.135 6.135 139.34 139.34 58.86
Fractional positions:
Sc 0.000 0.000 0.000
P 0.500 0.500 0.000
Pb 0.250 0.750 0.500
Pb 0.750 0.250 0.500

=====

VASP calculation (PBE) on ScP2Pb after structural relaxation.

Output
energy of formation from the pure elements	-186	kJ/mol of formula units
ρ	5.95	g/cm³
N(E_F)	1.273	states/eV per cell

Lattice parameters (Å, degrees): 3.869 3.869 5.856 90.00 90.00 90.00
Fractional positions:
Sc 0.000 0.000 0.000
P 0.000 0.000 0.476
P 0.500 0.500 0.005
Pb 0.500 0.500 0.534

=====

VASP calculation (PBE) on ScPPb2 after structural relaxation.

Output
energy of formation from the pure elements	-35	kJ/mol of formula units
ρ	7.36	g/cm³
N(E_F)	2.122	states/eV per cell

Lattice parameters (Å, degrees): 5.245 4.022 5.266 90.00 95.22 90.00
Fractional positions:
Sc 0.000 0.000 0.000
P 0.500 0.000 0.000
Pb 0.270 0.500 0.652
Pb 0.730 0.500 0.348

=====

- The lowest N(E_F) belongs to which entry?
  ScP2Pb

=====

Copy entry 3 word for word.
VASP calculation (PBE) on ScPPb2 after structural relaxation.

Output
energy of formation from the pure elements	-35	kJ/mol of formula units
ρ	7.36	g/cm³
N(E_F)	2.122	states/eV per cell

Lattice parameters (Å, degrees): 5.245 4.022 5.266 90.00 95.22 90.00
Fractional positions:
Sc 0.000 0.000 0.000
P 0.500 0.000 0.000
Pb 0.270 0.500 0.652
Pb 0.730 0.500 0.348

=====

- Which value of N(E_F) does entry 2 give?
  1.273 states/eV per cell